PBE-GGA LiZr2Ag, relaxed; space group = Pmmm (47); E_tot = -0.1970 Ha/atom; density of states at the Fermi level = 2.789 states/eV/f.u.; total magnetic moment = 0.000 μB/f.u.; energy of formation from the pure elements = 0.42 eV per formula unit
1.0
-1.2943 -2.3420 2.2224
0.8438 -3.3360 -3.0241
4.5238 -0.6363 1.9640
Ag Li Zr
1 1 2
direct
0.5000 0.0000 0.5000 Ag
0.0000 0.5000 0.5000 Li
0.0000 0.0000 0.0000 Zr
0.5000 0.5000 0.0000 Zr